Ni2HgOs: optimized geometry, PBE.

a b c (Å): 2.694 4.158 5.247
angles (deg): 90.00 104.77 90.00
Element x y z (fractional)
1 Ni 0.000 0.000 0.000
2 Ni 0.133 0.500 0.269
3 Hg 0.391 0.500 0.781
4 Os 0.713 0.000 0.429

Calculated values
Raw total energy   -0.3929 Ry per atom
Formation energy from the elements   0.427 eV/atom
Total magnetic moment   0.16 μB/f.u.
Space group   Pm

---

Ni2HgOs: optimized geometry, PBE.

a b c (Å): 8.884 8.884 8.884
angles (deg): 17.91 17.91 17.91
Element x y z (fractional)
1 Ni 0.000 0.000 0.000
2 Ni 0.260 0.260 0.260
3 Hg 0.506 0.506 0.506
4 Os 0.741 0.741 0.741

Calculated values
Raw total energy   -0.3900 Ry per atom
Formation energy from the elements   0.467 eV/atom
Total magnetic moment   0.53 μB/f.u.
Space group   R3m

---

Ni2HgOs: optimized geometry, PBE.

a b c (Å): 8.757 8.757 8.757
angles (deg): 18.26 18.26 18.26
Element x y z (fractional)
1 Ni 0.244 0.244 0.244
2 Ni 0.756 0.756 0.756
3 Hg 0.000 0.000 0.000
4 Os 0.500 0.500 0.500

Calculated values
Raw total energy   -0.3996 Ry per atom
Formation energy from the elements   0.337 eV/atom
Total magnetic moment   0.00 μB/f.u.
Space group   R-3m

---

NiHg2Os: optimized geometry, PBE.

a b c (Å): 2.795 4.621 5.274
angles (deg): 90.00 94.25 90.00
Element x y z (fractional)
1 Ni 0.000 0.000 0.000
2 Hg 0.210 0.500 0.756
3 Hg 0.790 0.500 0.244
4 Os 0.500 0.000 0.500

Calculated values
Raw total energy   -0.2649 Ry per atom
Formation energy from the elements   0.799 eV/atom
Excess energy over the best structure of this formula in the dataset   0.302 eV/atom
Total magnetic moment   0.00 μB/f.u.
Space group   P2/m

---

NiHgOs2: optimized geometry, PBE.

a b c (Å): 5.004 5.004 5.004
angles (deg): 135.64 135.64 64.53
Element x y z (fractional)
1 Ni 0.000 0.000 0.000
2 Hg 0.500 0.500 0.000
3 Os 0.250 0.750 0.500
4 Os 0.750 0.250 0.500

Calculated values
Raw total energy   -0.4646 Ry per atom
Formation energy from the elements   0.814 eV/atom
Total magnetic moment   0.00 μB/f.u.
Space group   I4/mmm

---

Ni2HgOs: optimized geometry, PBE.

a b c (Å): 4.635 4.635 2.707
angles (deg): 90.00 90.00 104.96
Element x y z (fractional)
1 Ni 0.000 0.500 0.000
2 Ni 0.500 0.000 0.000
3 Hg 0.000 0.000 0.500
4 Os 0.500 0.500 0.500

Calculated values
Raw total energy   -0.3923 Ry per atom
Formation energy from the elements   0.437 eV/atom
Total magnetic moment   0.01 μB/f.u.
Space group   Cmmm